# 1
CePuZnPt | Alexandria via LeMat-Bulk | PBE | optimized geometry; space-group type = F-43m, No. 216; calculated formation energy = -0.482 eV per atom; calculated density = 11.8 g/cm3
1.0
0.000 3.564 3.564
3.564 0.000 3.564
3.564 3.564 0.000
Ce Pu Zn Pt
1 1 1 1
direct
0.000 0.000 0.000
0.500 0.500 0.500
0.750 0.750 0.750
0.250 0.250 0.250

# 2
RbCePt10 | Alexandria via LeMat-Bulk | PBE | optimized geometry; space-group type = Pmmm, No. 47; calculated formation energy = -0.392 eV per atom; calculated density = 15.7 g/cm3
1.0
4.389 0.000 0.000
0.000 5.521 0.000
0.000 0.000 9.484
Rb Ce Pt
1 1 10
direct
0.000 0.000 0.000
0.000 0.500 0.500
0.000 0.000 0.338
0.000 0.000 0.662
0.000 0.500 0.176
0.000 0.500 0.824
0.500 0.000 0.500
0.500 0.255 0.259
0.500 0.255 0.741
0.500 0.500 0.000
0.500 0.745 0.259
0.500 0.745 0.741

# 3
RbCePtS3 | Alexandria via LeMat-Bulk | PBE | optimized geometry; space-group type = P2_1/m, No. 11; E = -0.2014 hartree per atom; calculated density = 5.2 g/cm3
1.0
9.033 0.000 0.000
0.000 4.043 0.000
-3.102 0.000 9.046
Rb Ce Pt S
2 2 2 6
direct
0.202 0.250 0.235
0.798 0.750 0.765
0.321 0.750 0.835
0.679 0.250 0.165
0.100 0.250 0.577
0.900 0.750 0.423
0.124 0.250 0.848
0.218 0.750 0.536
0.460 0.750 0.145
0.540 0.250 0.855
0.782 0.250 0.464
0.876 0.750 0.152

# 4
Rb3Ce3PtSe8 | Alexandria via LeMat-Bulk | PBE | optimized geometry; space-group type = C2/m, No. 12; E = -0.1831 hartree per atom; calculated density = 5.0 g/cm3
1.0
7.290 -4.208 0.000
7.290 4.208 0.000
-4.860 0.000 8.172
Rb Ce Pt Se
3 3 1 8
direct
0.000 0.000 0.000
0.000 0.500 0.000
0.500 0.000 0.000
0.000 0.500 0.500
0.500 0.000 0.500
0.500 0.500 0.500
0.000 0.000 0.500
0.213 0.756 0.682
0.214 0.214 0.683
0.244 0.787 0.318
0.266 0.266 0.299
0.734 0.734 0.701
0.756 0.213 0.682
0.786 0.786 0.317
0.787 0.244 0.318

# 5
Ce2RePt | Alexandria via LeMat-Bulk | PBE | optimized geometry; space-group type = P4/mmm, No. 123; E above lowest polymorph = 0.00 eV per formula unit; calculated formation energy = -0.387 eV per atom; calculated density = 12.7 g/cm3
1.0
3.450 0.000 0.000
0.000 3.450 0.000
0.000 0.000 7.282
Ce Re Pt
2 1 1
direct
0.000 0.000 0.241
0.000 0.000 0.759
0.500 0.500 0.000
0.500 0.500 0.500

# 6
Ce2RePt | Alexandria via LeMat-Bulk | PBE | optimized geometry; space-group type = R-3m, No. 166; E above lowest polymorph = 2.25 eV per formula unit; calculated formation energy = 0.174 eV per atom; calculated density = 13.7 g/cm3
1.0
1.495 0.863 10.352
-1.495 0.863 10.352
0.000 -1.726 10.352
Ce Re Pt
2 1 1
direct
0.084 0.084 0.084
0.916 0.916 0.916
0.000 0.000 0.000
0.500 0.500 0.500

# 7
Ce3Pt4Rh4 | Alexandria via LeMat-Bulk | PBE | optimized geometry; space-group type = I-43m, No. 217; calculated formation energy = -0.409 eV per atom; calculated density = 11.4 g/cm3
1.0
-3.886 3.886 3.886
3.886 -3.886 3.886
3.886 3.886 -3.886
Ce Pt Rh
3 4 4
direct
0.000 0.500 0.500
0.500 0.000 0.500
0.500 0.500 0.000
0.000 0.000 0.404
0.000 0.404 0.000
0.404 0.000 0.000
0.596 0.596 0.596
0.000 0.000 0.765
0.000 0.765 0.000
0.235 0.235 0.235
0.765 0.000 0.000

# 8
Ce6PtRh3 | Alexandria via LeMat-Bulk | PBE | optimized geometry; space-group type = P2_1/m, No. 11; calculated formation energy = -0.609 eV per atom; calculated density = 8.9 g/cm3
1.0
11.707 0.000 0.000
0.000 3.950 0.000
-4.342 0.000 10.893
Ce Pt Rh
12 2 6
direct
0.027 0.250 0.374
0.107 0.250 0.929
0.250 0.750 0.277
0.265 0.250 0.713
0.425 0.750 0.531
0.437 0.250 0.102
0.563 0.750 0.898
0.575 0.250 0.469
0.735 0.750 0.287
0.750 0.250 0.723
0.893 0.750 0.071
0.973 0.750 0.626
0.305 0.750 0.911
0.695 0.250 0.089
0.082 0.250 0.158
0.172 0.750 0.522
0.496 0.750 0.283
0.504 0.250 0.717
0.828 0.250 0.478
0.918 0.750 0.842